# KCa2Au, relaxed, DFT PBE
# Formation energy   -0.245 eV/atom
# Calculated total energy   -2.34 eV per atom
# Size of the total moment   0.0 μB per formula unit
# ΔE to the lowest computed polymorph   0.114 eV/atom
data_KCa2Au
_chemical_formula_sum 'K2 Ca4 Au2'
_cell_length_a 3.856
_cell_length_b 6.362
_cell_length_c 12.456
_cell_angle_alpha 90.00
_cell_angle_beta 90.00
_cell_angle_gamma 90.00
_symmetry_space_group_name_H-M 'I m m m'
_symmetry_Int_Tables_number 71
_symmetry_space_group_name_Hall '-I 2 2'
loop_
_atom_site_label
_atom_site_type_symbol
_atom_site_fract_x
_atom_site_fract_y
_atom_site_fract_z
_atom_site_occupancy
K1 K 0.000 0.000 0.000 1
Ca1 Ca 0.000 0.500 0.184 1
Au1 Au 0.000 0.000 0.500 1